Density functional theory data (PBE) for Hf2AgMoPb after structural relaxation.

Cell and atoms, written as extended XYZ:
```
5
Lattice="-0.9126 3.4563 3.9175 -4.0053 -2.6767 1.4285 3.0695 -2.8632 3.2412" Properties=species:S:1:pos:R:3 pbc="T T T"
Hf 1.5347 -1.4316 1.6206
Hf -0.4563 1.7282 1.9587
Ag -0.9242 -1.0418 4.2936
Pb 0.0000 0.0000 0.0000
Mo -2.0026 -1.3383 0.7143
```

## Properties
DOS(E_F)	6.6	states/eV/f.u.
calculated density	9.024	Mg/m³
final energy	-5.66	eV/atom
crystal system	tetragonal